Entry 1:
The following is a DFT calculation (PBE-GGA) of an optimized crystal structure of Nd2YHf.

Properties
The calculation puts the offset from the most stable computed form at 8 meV per atom. Its electronic total energy is -25.24 eV per cell. The crystal system is tetragonal. As for the magnetic moment: 0.00 μB/cell.

a = 4.976 Å, b = 4.976 Å, c = 4.877 Å
α = 90.00°, β = 90.00°, γ = 90.00°
Positions (direct):
Nd: 0.000 0.500 0.000
Nd: 0.500 0.000 0.000
Y: 0.000 0.000 0.500
Hf: 0.500 0.500 0.500



Entry 2:
The following is a DFT calculation (PBE-GGA) of an optimized crystal structure of LaAsBr.

Properties
The calculation puts the offset from the most stable computed form at 276 meV per atom. Its electronic total energy is -14.25 eV per cell. The crystal system is trigonal. As for the magnetic moment: 1.01 μB/cell. The calculation puts the formation energy (no corrections) at -1.00 eV per atom.

a = 4.594 Å, b = 4.594 Å, c = 6.436 Å
α = 90.00°, β = 90.00°, γ = 120.00°
Positions (direct):
La: 0.000 0.000 0.000
As: 0.667 0.333 0.201
Br: 0.333 0.667 0.732



Entry 3:
The following is a DFT calculation (PBE-GGA) of an optimized crystal structure of SiRhAuS.

Properties
The calculation puts the offset from the most stable computed form at 73 meV per atom. Its electronic total energy is -41.36 eV per cell. The crystal system is monoclinic. As for the magnetic moment: 0.00 μB/cell. The calculation puts the formation energy (no corrections) at -0.12 eV per atom.

a = 8.575 Å, b = 3.543 Å, c = 5.226 Å
α = 90.00°, β = 120.08°, γ = 90.00°
Positions (direct):
Si: 0.000 0.000 0.000
Si: 0.500 0.500 0.000
Rh: 0.055 0.500 0.323
Rh: 0.555 0.000 0.323
Au: 0.235 0.000 0.827
Au: 0.735 0.500 0.827
S: 0.394 0.500 0.513
S: 0.894 0.000 0.513